## CeGe4Pd6 (PBE)

Data for a relaxed structure of CeGe4Pd6.

a b c (Å): 3.9985 7.3425 7.3425
angles (deg): 120.00 90.00 90.00
Fractional positions:
Pd  0.0000  0.9293  0.4647
Pd  0.5000  0.1999  0.3998
Pd  0.5000  0.6002  0.8001
Pd  0.0000  0.5353  0.0707
Pd  0.5000  0.1999  0.8001
Pd  0.0000  0.5353  0.4647
Ge  0.5000  0.8075  0.1925
Ge  0.5000  0.8075  0.6150
Ge  0.0000  0.3333  0.6667
Ge  0.5000  0.3850  0.1925
Ce  0.0000  0.0000  0.0000

N(E_F) = 1.151 states/eV per atom
calculated total energy = -62.7 eV per cell
DFT formation energy = -645 meV per atom
volume = 17.0 Å³ per atom
space group = P-6m2 (187)